First-principles (PBE) data for a relaxed structure of Be4RuPt, as listed in the Alexandria database.

Structure (CIF):
```
data_Be4RuPt
_cell_length_a 6.204
_cell_length_b 6.204
_cell_length_c 6.204
_cell_angle_alpha 90.00
_cell_angle_beta 90.00
_cell_angle_gamma 90.00
_space_group_name_H-M_alt 'F -4 3 m'
_space_group_IT_number 216
_space_group_name_Hall 'F -4 2 3'
loop_
_atom_site_label
_atom_site_fract_x
_atom_site_fract_y
_atom_site_fract_z
Be1 0.124 0.124 0.376
Ru1 0.250 0.250 0.750
Pt1 0.000 0.000 0.000
```

Summary:
- Magnetic moment: 0.00 μB per cell
- DFT formation energy: -0.39 eV/atom

=====

First-principles (PBE) data for a relaxed structure of Be3RuPt2, as listed in the Alexandria database.

Structure (CIF):
```
data_Be3RuPt2
_cell_length_a 2.821
_cell_length_b 2.821
_cell_length_c 8.501
_cell_angle_alpha 90.00
_cell_angle_beta 90.00
_cell_angle_gamma 90.00
_space_group_name_H-M_alt 'P 4/m m m'
_space_group_IT_number 123
_space_group_name_Hall '-P 4 2'
loop_
_atom_site_label
_atom_site_fract_x
_atom_site_fract_y
_atom_site_fract_z
Be1 0.000 0.000 0.000
Be2 0.000 0.000 0.344
Ru1 0.500 0.500 0.500
Pt1 0.500 0.500 0.168
```

Summary:
- Magnetic moment: 0.00 μB per cell
- DFT formation energy: -0.60 eV/atom

=====

First-principles (PBE) data for a relaxed structure of BeRu3Pt, as listed in the Alexandria database.

Structure (CIF):
```
data_BeRu3Pt
_cell_length_a 4.083
_cell_length_b 4.083
_cell_length_c 4.083
_cell_angle_alpha 90.00
_cell_angle_beta 90.00
_cell_angle_gamma 90.00
_space_group_name_H-M_alt 'P m -3 m'
_space_group_IT_number 221
_space_group_name_Hall '-P 4 2 3'
loop_
_atom_site_label
_atom_site_fract_x
_atom_site_fract_y
_atom_site_fract_z
Be1 0.000 0.000 0.000
Ru1 0.000 0.000 0.500
Pt1 0.500 0.500 0.500
```

Summary:
- Magnetic moment: 0.00 μB per cell
- DFT formation energy: 0.47 eV/atom
- Offset from the most stable computed form: 0.0 meV per atom

=====

First-principles (PBE) data for a relaxed structure of BeRu4Pt, as listed in the Alexandria database.

Structure (CIF):
```
data_BeRu4Pt
_cell_length_a 7.121
_cell_length_b 7.121
_cell_length_c 7.121
_cell_angle_alpha 90.00
_cell_angle_beta 90.00
_cell_angle_gamma 90.00
_space_group_name_H-M_alt 'F -4 3 m'
_space_group_IT_number 216
_space_group_name_Hall 'F -4 2 3'
loop_
_atom_site_label
_atom_site_fract_x
_atom_site_fract_y
_atom_site_fract_z
Be1 0.000 0.000 0.000
Ru1 0.125 0.125 0.375
Pt1 0.250 0.250 0.750
```

Summary:
- Magnetic moment: 5.74 μB per cell
- DFT formation energy: 0.66 eV/atom

=====

First-principles (PBE) data for a relaxed structure of Be3RuPt, as listed in the Alexandria database.

Structure (CIF):
```
data_Be3RuPt
_cell_length_a 4.124
_cell_length_b 4.124
_cell_length_c 4.124
_cell_angle_alpha 90.00
_cell_angle_beta 90.00
_cell_angle_gamma 90.00
_space_group_name_H-M_alt 'P m -3 m'
_space_group_IT_number 221
_space_group_name_Hall '-P 4 2 3'
loop_
_atom_site_label
_atom_site_fract_x
_atom_site_fract_y
_atom_site_fract_z
Be1 0.000 0.000 0.500
Ru1 0.500 0.500 0.500
Pt1 0.000 0.000 0.000
```

Summary:
- Magnetic moment: 1.15 μB per cell
- DFT formation energy: 0.51 eV/atom
- Offset from the most stable computed form: 0.0 meV per atom

=====

First-principles (PBE) data for a relaxed structure of Be4RuPt3, as listed in the Alexandria database.

Structure (CIF):
```
data_Be4RuPt3
_cell_length_a 2.827
_cell_length_b 2.827
_cell_length_c 11.348
_cell_angle_alpha 90.00
_cell_angle_beta 90.00
_cell_angle_gamma 90.00
_space_group_name_H-M_alt 'P 4/m m m'
_space_group_IT_number 123
_space_group_name_Hall '-P 4 2'
loop_
_atom_site_label
_atom_site_fract_x
_atom_site_fract_y
_atom_site_fract_z
Be1 0.000 0.000 0.115
Be2 0.000 0.000 0.371
Ru1 0.500 0.500 0.000
Pt1 0.500 0.500 0.249
Pt2 0.500 0.500 0.500
```

Summary:
- Magnetic moment: 0.00 μB per cell
- DFT formation energy: -0.65 eV/atom

=====

First-principles (PBE) data for a relaxed structure of BeRu3Pt, as listed in the Alexandria database.

Structure (CIF):
```
data_BeRu3Pt
_cell_length_a 4.776
_cell_length_b 4.776
_cell_length_c 4.776
_cell_angle_alpha 90.00
_cell_angle_beta 90.00
_cell_angle_gamma 90.00
_space_group_name_H-M_alt 'P m -3 m'
_space_group_IT_number 221
_space_group_name_Hall '-P 4 2 3'
loop_
_atom_site_label
_atom_site_fract_x
_atom_site_fract_y
_atom_site_fract_z
Be1 0.000 0.000 0.000
Ru1 0.000 0.500 0.500
Pt1 0.500 0.500 0.500
```

Summary:
- Magnetic moment: 5.35 μB per cell
- DFT formation energy: 2.19 eV/atom
- Offset from the most stable computed form: 1721.8 meV per atom

=====

First-principles (PBE) data for a relaxed structure of BeRuPt4, as listed in the Alexandria database.

Structure (CIF):
```
data_BeRuPt4
_cell_length_a 7.346
_cell_length_b 7.346
_cell_length_c 7.346
_cell_angle_alpha 90.00
_cell_angle_beta 90.00
_cell_angle_gamma 90.00
_space_group_name_H-M_alt 'F -4 3 m'
_space_group_IT_number 216
_space_group_name_Hall 'F -4 2 3'
loop_
_atom_site_label
_atom_site_fract_x
_atom_site_fract_y
_atom_site_fract_z
Be1 0.000 0.000 0.000
Ru1 0.250 0.250 0.250
Pt1 0.125 0.125 0.625
```

Summary:
- Magnetic moment: 9.23 μB per cell
- DFT formation energy: 0.46 eV/atom